## one
First-principles (PBE) data for a relaxed Li2Ac3Sn7 crystal, as listed in Alexandria via LeMat-Bulk.

The density of states at the Fermi level is 4.0 states/eV/f.u. The size of the total moment comes out at 0.000 μB/atom.

The structure belongs to space group P2/m (No. 10); the cell edges are 4.726, 4.830 and 14.922 Å and the angles 90.00°, 99.07° and 90.00°. The asymmetric unit holds Li at (0.131, 0.000, 0.263), Ac at (0.000, 0.000, 0.000), Ac at (0.318, 0.500, 0.635), Sn at (0.086, 0.500, 0.173), Sn at (0.221, 0.000, 0.442), Sn at (0.413, 0.000, 0.827) and Sn at (0.500, 0.500, 0.000).

## two
First-principles (PBE) data for a relaxed Li2Ac3Sn7 crystal, as listed in Alexandria via LeMat-Bulk.

The density of states at the Fermi level is 3.4 states/eV/f.u. The size of the total moment comes out at 0.000 μB/atom.

The structure belongs to space group Cmmm (No. 65); the cell edges are 4.768, 29.391 and 4.800 Å and the angles 90.00°, 90.00° and 90.00°. The asymmetric unit holds Li at (0.000, 0.134, 0.000), Ac at (0.000, 0.321, 0.500), Ac at (0.000, 0.500, 0.500), Sn at (0.000, 0.000, 0.000), Sn at (0.000, 0.087, 0.500), Sn at (0.000, 0.222, 0.000) and Sn at (0.000, 0.413, 0.000).

Computed stability ranking, most favorable first: one, two

## one
First-principles (PBE) data for a relaxed LiAcSn3 crystal, as listed in Alexandria via LeMat-Bulk.

The density of states at the Fermi level is 1.5 states/eV/f.u. The size of the total moment comes out at 0.000 μB/atom.

The structure belongs to space group I4mm (No. 107); the cell edges are 5.105, 5.105 and 10.562 Å and the angles 90.00°, 90.00° and 90.00°. The asymmetric unit holds Li at (0.000, 0.000, 0.000), Ac at (0.000, 0.000, 0.349), Sn at (0.000, 0.000, 0.752) and Sn at (0.000, 0.500, 0.100).

## two
First-principles (PBE) data for a relaxed LiAcSn3 crystal, as listed in Alexandria via LeMat-Bulk.

The density of states at the Fermi level is 2.8 states/eV/f.u. The size of the total moment comes out at 0.000 μB/atom.

The structure belongs to space group Pm-3m (No. 221); the cell edges are 5.143, 5.143 and 5.143 Å and the angles 90.00°, 90.00° and 90.00°. The asymmetric unit holds Li at (0.000, 0.000, 0.000), Ac at (0.500, 0.500, 0.500) and Sn at (0.000, 0.000, 0.500).

## three
First-principles (PBE) data for a relaxed LiAcSn3 crystal, as listed in Alexandria via LeMat-Bulk.

The density of states at the Fermi level is 1.8 states/eV/f.u. The size of the total moment comes out at 0.000 μB/atom.

The structure belongs to space group Cmmm (No. 65); the cell edges are 4.659, 24.924 and 4.720 Å and the angles 90.00°, 90.00° and 90.00°. The asymmetric unit holds Li at (0.000, 0.112, 0.000), Ac at (0.000, 0.333, 0.500), Sn at (0.000, 0.057, 0.500), Sn at (0.000, 0.216, 0.000) and Sn at (0.000, 0.443, 0.000).

Computed stability ranking, most favorable first: three, one, two

## one
First-principles (PBE) data for a relaxed Li2AcSn2 crystal, as listed in Alexandria via LeMat-Bulk.

The density of states at the Fermi level is 1.9 states/eV/f.u. The size of the total moment comes out at 0.000 μB/atom.

The structure belongs to space group I4/mmm (No. 139); the cell edges are 4.620, 4.620 and 12.083 Å and the angles 90.00°, 90.00° and 90.00°. The asymmetric unit holds Li at (0.000, 0.500, 0.250), Ac at (0.000, 0.000, 0.000) and Sn at (0.000, 0.000, 0.380).

## two
First-principles (PBE) data for a relaxed Li2AcSn2 crystal, as listed in Alexandria via LeMat-Bulk.

The density of states at the Fermi level is 2.5 states/eV/f.u. The size of the total moment comes out at 0.000 μB/atom.

The structure belongs to space group P2_1/m (No. 11); the cell edges are 4.722, 4.713 and 11.096 Å and the angles 90.00°, 90.20° and 90.00°. The asymmetric unit holds Li at (0.238, 0.250, 0.135), Li at (0.249, 0.750, 0.500), Ac at (0.253, 0.250, 0.743), Sn at (0.250, 0.250, 0.375) and Sn at (0.263, 0.750, 0.000).

Computed stability ranking, most favorable first: one, two

## one
First-principles (PBE) data for a relaxed Li4AcSn crystal, as listed in Alexandria via LeMat-Bulk.

The density of states at the Fermi level is 4.7 states/eV/f.u. The size of the total moment comes out at 0.000 μB/atom.

The structure belongs to space group F-43m (No. 216); the cell edges are 8.180, 8.180 and 8.180 Å and the angles 90.00°, 90.00° and 90.00°. The asymmetric unit holds Li at (0.124, 0.124, 0.124), Ac at (0.000, 0.000, 0.500) and Sn at (0.250, 0.250, 0.750).

## two
First-principles (PBE) data for a relaxed Li4AcSn crystal, as listed in Alexandria via LeMat-Bulk.

The density of states at the Fermi level is 3.3 states/eV/f.u. The size of the total moment comes out at 0.000 μB/atom.

The structure belongs to space group Cmcm (No. 63); the cell edges are 4.439, 19.330 and 6.433 Å and the angles 90.00°, 90.00° and 90.00°. The asymmetric unit holds Li at (0.000, 0.000, 0.000), Li at (0.000, 0.260, 0.073), Li at (0.000, 0.438, 0.250), Ac at (0.000, 0.380, 0.750) and Sn at (0.000, 0.160, 0.750).

Computed stability ranking, most favorable first: one, two

## one
First-principles (PBE) data for a relaxed LiAcTlSn crystal, as listed in Alexandria via LeMat-Bulk.

The density of states at the Fermi level is 3.2 states/eV/f.u. The size of the total moment comes out at 0.000 μB/atom.

The structure belongs to space group F-43m (No. 216); the cell edges are 7.788, 7.788 and 7.788 Å and the angles 90.00°, 90.00° and 90.00°. The asymmetric unit holds Li at (0.000, 0.000, 0.000), Ac at (0.000, 0.000, 0.500), Tl at (0.250, 0.250, 0.250) and Sn at (0.250, 0.250, 0.750).

## two
First-principles (PBE) data for a relaxed LiAcTlSn crystal, as listed in Alexandria via LeMat-Bulk.

The density of states at the Fermi level is 1.5 states/eV/f.u. The size of the total moment comes out at 0.000 μB/atom.

The structure belongs to space group Cm (No. 8); the cell edges are 8.208, 4.744 and 6.509 Å and the angles 90.00°, 114.94° and 90.00°. The asymmetric unit holds Li at (0.000, 0.000, 0.000), Ac at (0.491, 0.000, 0.473), Tl at (0.275, 0.000, 0.825) and Sn at (0.207, 0.500, 0.121).

Computed stability ranking, most favorable first: two, one

## one
First-principles (PBE) data for a relaxed SrLiAc2 crystal, as listed in Alexandria via LeMat-Bulk.

The density of states at the Fermi level is 5.8 states/eV/f.u. The size of the total moment comes out at 0.000 μB/atom.

The structure belongs to space group P4/mmm (No. 123); the cell edges are 4.078, 4.078 and 9.856 Å and the angles 90.00°, 90.00° and 90.00°. The asymmetric unit holds Sr at (0.000, 0.000, 0.000), Li at (0.000, 0.000, 0.500) and Ac at (0.500, 0.500, 0.307).

## two
First-principles (PBE) data for a relaxed SrLiAc2 crystal, as listed in Alexandria via LeMat-Bulk.

The density of states at the Fermi level is 5.1 states/eV/f.u. The size of the total moment comes out at 0.000 μB/atom.

The structure belongs to space group P4/mmm (No. 123); the cell edges are 5.325, 5.325 and 6.005 Å and the angles 90.00°, 90.00° and 90.00°. The asymmetric unit holds Sr at (0.000, 0.000, 0.000), Li at (0.500, 0.500, 0.000) and Ac at (0.000, 0.500, 0.500).

## three
First-principles (PBE) data for a relaxed SrLiAc2 crystal, as listed in Alexandria via LeMat-Bulk.

The density of states at the Fermi level is 4.3 states/eV/f.u. The size of the total moment comes out at 0.000 μB/atom.

The structure belongs to space group R-3m (No. 166, hexagonal axes); the cell edges are 3.8686, 3.8686 and 39.4292 Å and the angles 90.00°, 90.00° and 120.00°. The asymmetric unit holds Sr at (0.0000, 0.0000, 0.0000), Li at (0.0000, 0.0000, 0.5000) and Ac at (0.0000, 0.0000, 0.0964).

Computed stability ranking, most favorable first: one, two, three